--- a ---
DFT (PBE-GGA) results for a relaxed InTeP2 crystal.

Cell: 5.5811 5.5811 2.9408 Å, 91.76 91.76 90.09°
With the nearest neighbours (Å) after each atom.
Atoms (fractional coordinates):
1 In 0.0000 0.0000 0.0000  4 P 2.79, 2 In 2.94
2 Te 0.5000 0.5000 0.0000  4 P 2.79, 2 Te 2.94
3 P 0.0000 0.5000 0.0000  2 In 2.79, 2 Te 2.79, 2 P 2.94
4 P 0.5000 0.0000 0.0000  2 In 2.79, 2 Te 2.79, 2 P 2.94

Calculated values
size of the total moment	0.00	μB/cell
calculated density	5.523	g cm⁻³
space-group type	C2/m, No. 12



--- b ---
DFT (PBE-GGA) results for a relaxed InTeP2 crystal.

Cell: 3.9939 3.9939 6.8560 Å, 106.31 106.31 59.61°
With the nearest neighbours (Å) after each atom.
Atoms (fractional coordinates):
1 In 0.0000 0.0000 0.0000  6 P 2.78-2.81
2 Te 0.5000 0.5000 0.5000  6 P 2.82-2.83
3 P 0.2499 0.2499 0.7535  3 In 2.78-2.81, 3 Te 2.82-2.83
4 P 0.7501 0.7501 0.2465  3 In 2.78-2.81, 3 Te 2.82-2.83

Calculated values
size of the total moment	0.00	μB/cell
calculated density	5.662	g cm⁻³
space-group type	C2/m, No. 12



--- c ---
DFT (PBE-GGA) results for a relaxed InTeP2 crystal.

Cell: 4.9208 4.9208 4.9208 Å, 60.00 60.00 60.00°
With the nearest neighbours (Å) after each atom.
Atoms (fractional coordinates):
1 In 0.0000 0.0000 0.0000  4 Te 3.01, 4 P 3.01
2 Te 0.7500 0.7500 0.7500  4 In 3.01, 4 P 3.01
3 P 0.2500 0.2500 0.2500  4 In 3.01, 4 P 3.01
4 P 0.5000 0.5000 0.5000  4 Te 3.01, 4 P 3.01

Calculated values
size of the total moment	0.00	μB/cell
calculated density	5.999	g cm⁻³
space-group type	F-43m, No. 216



--- d ---
DFT (PBE-GGA) results for a relaxed InTeP2 crystal.

Cell: 3.9793 3.9793 5.6521 Å, 90.00 90.00 90.00°
With the nearest neighbours (Å) after each atom.
Atoms (fractional coordinates):
1 In 0.0000 0.0000 0.0000  6 P 2.75-2.90
2 Te 0.5000 0.5000 0.4900  5 P 2.57-2.82
3 P 0.0000 0.0000 0.5139  2 In 2.75-2.90, 4 Te 2.82
4 P 0.5000 0.5000 0.0344  1 Te 2.57, 4 In 2.82

Calculated values
size of the total moment	0.00	μB/cell
calculated density	5.647	g cm⁻³
space-group type	P4mm, No. 99



Which structure is most stable? d, by 0.069 eV/atom over the runner-up.